CaMnCo2O: PBEsol geometry, SCAN.

Output
Calculated total energy in eV for the cell shown: -68.37
Spin magnetization in Bohr magnetons per cell: 6.049
Raw formation energy in eV per atom: 0.08
Crystal system: tetragonal
Density of states at the Fermi level in states/eV per cell: 2.2

Lattice parameters (Å, degrees): 4.3418 4.3418 3.6505 90.00 90.00 90.00
Space group P4/mmm (No. 123)
Inequivalent atoms, fractional coordinates:
Ca 0.0000 0.0000 0.0000 [1 per cell]
Mn 0.5000 0.5000 0.5000 [1 per cell]
Co 0.0000 0.5000 0.5000 [2 per cell]
O 0.5000 0.5000 0.0000 [1 per cell]

***

TmMg3: PBEsol geometry, SCAN.

Output
Calculated total energy in eV for the cell shown: -267.63
Spin magnetization in Bohr magnetons per cell: 0.119
Calculated formation energy in eV/atom: -0.04
Crystal system: cubic
Density of states at the Fermi level in states/eV per cell: 7.0

Lattice parameters (Å, degrees): 7.2115 7.2115 7.2115 90.00 90.00 90.00
Space group Fm-3m (No. 225)
Inequivalent atoms, fractional coordinates:
Tm 0.0000 0.0000 0.0000 [4 per cell]
Mg 0.0000 0.0000 0.5000 [4 per cell]
Mg 0.2500 0.2500 0.2500 [8 per cell]

***

CsCuHgSe2: PBEsol geometry, SCAN.

Output
Calculated total energy in eV for the cell shown: -162.95
Spin magnetization in Bohr magnetons per cell: 0.000
Raw formation energy in eV per atom: -0.32
Crystal system: tetragonal
Density of states at the Fermi level in states/eV per cell: 3.0

Lattice parameters (Å, degrees): 4.9149 4.9149 5.3295 90.00 90.00 90.00
Space group P4/mmm (No. 123)
Inequivalent atoms, fractional coordinates:
Cs 0.0000 0.0000 0.0000 [1 per cell]
Cu 0.5000 0.5000 0.5000 [1 per cell]
Hg 0.5000 0.5000 0.0000 [1 per cell]
Se 0.0000 0.5000 0.5000 [2 per cell]

***

LaOsSe2N: PBEsol geometry, SCAN.

Output
Calculated total energy in eV for the cell shown: -157.92
Spin magnetization in Bohr magnetons per cell: 2.813
Raw formation energy in eV per atom: 1.30
Crystal system: tetragonal
Density of states at the Fermi level in states/eV per cell: 3.5

Lattice parameters (Å, degrees): 5.6646 5.6646 3.9704 90.00 90.00 90.00
Space group P4/mmm (No. 123)
Inequivalent atoms, fractional coordinates:
La 0.0000 0.0000 0.0000 [1 per cell]
Os 0.5000 0.5000 0.5000 [1 per cell]
Se 0.0000 0.5000 0.0000 [2 per cell]
N 0.0000 0.0000 0.5000 [1 per cell]

***

Mo3W: PBEsol geometry, SCAN.

Output
Calculated total energy in eV for the cell shown: -174.36
Distance to the lowest polymorph of the same formula in meV per atom: 3
Spin magnetization in Bohr magnetons per cell: 0.000
Calculated formation energy in eV/atom: 0.00
Crystal system: monoclinic
Density of states at the Fermi level in states/eV per cell: 1.9

Lattice parameters (Å, degrees): 2.7150 4.4315 5.1932 90.00 99.99 90.00
Space group P2/m (No. 10)
Inequivalent atoms, fractional coordinates:
Mo 0.0000 0.0000 0.0000 [1 per cell]
Mo 0.2481 0.5000 0.7501 [2 per cell]
W 0.5000 0.0000 0.5000 [1 per cell]

***

Zr8AgPd3: PBEsol geometry, SCAN.

Output
Calculated total energy in eV for the cell shown: -380.59
Spin magnetization in Bohr magnetons per cell: 0.000
Calculated formation energy in eV/atom: -0.44
Crystal system: tetragonal
Density of states at the Fermi level in states/eV per cell: 6.9

Lattice parameters (Å, degrees): 3.2877 3.2877 21.7873 90.00 90.00 90.00
Space group P4/mmm (No. 123)
Inequivalent atoms, fractional coordinates:
Zr 0.0000 0.0000 0.0766 [2 per cell]
Zr 0.0000 0.0000 0.4151 [2 per cell]
Zr 0.5000 0.5000 0.1688 [2 per cell]
Zr 0.5000 0.5000 0.3223 [2 per cell]
Ag 0.5000 0.5000 0.5000 [1 per cell]
Pd 0.0000 0.0000 0.2455 [2 per cell]
Pd 0.5000 0.5000 0.0000 [1 per cell]

***

- Which value of calculated total energy does entry 4 give?
  -157.92 eV for the cell shown